No. 1
First-principles (PBE) data for an optimized crystal structure of Pr2BeSi4Pd3, as listed in the Alexandria database.

Unit cell a=4.2058 b=4.2058 c=10.0276 alpha=90.00 beta=90.00 gamma=90.00
Closest atoms and distances in Å follow each position.
Space group P-4m2 (No. 115)
One atom of each set of equivalent atoms:
Pr 0.0000 0.5000 0.2477 [2 per cell]  8 Si 3.21-3.29, 6 Pd 3.24-3.25, 2 Be 3.25
Be 0.5000 0.5000 0.0000 [1 per cell]  4 Si 2.46
Si 0.0000 0.0000 0.5000 [1 per cell]  4 Pd 2.44
Si 0.0000 0.5000 0.8721 [2 per cell]  2 Be 2.46, 3 Pd 2.46-2.49
Si 0.5000 0.5000 0.5000 [1 per cell]  4 Pd 2.44
Pd 0.0000 0.0000 0.0000 [1 per cell]  4 Si 2.46
Pd 0.0000 0.5000 0.6241 [2 per cell]  5 Si 2.44-2.49

## Properties
Formation energy without anion corrections = -739.0 kJ/mol of formula units

---

No. 2
First-principles (PBE) data for an optimized crystal structure of Pr3Be2SnPd9, as listed in the Alexandria database.

Unit cell a=5.9956 b=5.9956 c=9.3459 alpha=90.00 beta=90.00 gamma=120.00
Closest atoms and distances in Å follow each position.
Space group P-3m1 (No. 164)
One atom of each set of equivalent atoms:
Pr 0.0000 0.0000 0.0000 [1 per cell]  12 Pd 3.00-3.12
Pr 0.3333 0.6667 0.6670 [2 per cell]  6 Pd 3.04
Be 0.3333 0.6667 0.1438 [2 per cell]  6 Pd 2.17-2.19
Sn 0.0000 0.0000 0.5000 [1 per cell]  6 Pd 2.68
Pd 0.0000 0.5000 0.0000 [3 per cell]  2 Be 2.19
Pd 0.1640 0.3280 0.2791 [6 per cell]  1 Be 2.17

## Properties
ΔE_f = -0.633 eV per atom

---

No. 3
First-principles (PBE) data for an optimized crystal structure of Pr2BeSnPd6, as listed in the Alexandria database.

Unit cell a=5.8934 b=5.9107 c=7.2959 alpha=67.98 beta=67.59 gamma=60.53
Closest atoms and distances in Å follow each position.
Space group P-1 (No. 2)
One atom of each set of equivalent atoms:
Pr 0.2501 0.2462 0.2007 [2 per cell]  8 Pd 3.00-3.33
Be 0.5000 0.5000 0.5000 [1 per cell]  6 Pd 2.14-2.17
Sn 0.0000 0.0000 0.0000 [1 per cell]  6 Pd 2.65-2.70
Pd 0.1838 0.7028 0.3395 [2 per cell]  1 Be 2.17
Pd 0.2758 0.2809 0.7295 [2 per cell]  1 Be 2.14
Pd 0.2949 0.8241 0.6544 [2 per cell]  1 Be 2.17

## Properties
ΔE_f = -0.631 eV per atom

---

No. 4
First-principles (PBE) data for an optimized crystal structure of Pr2BeTlPd6, as listed in the Alexandria database.

Unit cell a=5.9442 b=5.9493 c=7.6897 alpha=67.64 beta=67.41 gamma=60.06
Closest atoms and distances in Å follow each position.
Space group P-1 (No. 2)
One atom of each set of equivalent atoms:
Pr 0.2449 0.2437 0.2647 [2 per cell]  9 Pd 3.00-3.28
Be 0.5000 0.5000 0.5000 [1 per cell]  6 Pd 2.17
Tl 0.0000 0.0000 0.0000 [1 per cell]  6 Pd 2.77-2.78
Pd 0.2092 0.7313 0.3245 [2 per cell]  1 Be 2.17
Pd 0.2666 0.2684 0.6771 [2 per cell]  1 Be 2.17
Pd 0.2671 0.7938 0.6740 [2 per cell]  1 Be 2.17

## Properties
ΔE_f = -0.534 eV per atom

---

| no. | magnetization (μB per cell) |
| --- | --- |
| 1 | 0.0 |
| 2 | 0.0 |
| 3 | 0.0 |
| 4 | 0.0 |